Entry 1:
DFT (PBE) results for crystalline KCo3 at its relaxed geometry.

Results
Spin magnetization = 5.070 μB per cell
Relative energy among the computed polymorphs = 0.774 eV per atom

Cell lengths 3.983, 3.983, 3.983 Å; angles 90.00, 90.00, 90.00 degrees
Atoms (fractional coordinates):
1 Co 0.000 0.500 0.500
2 Co 0.500 0.000 0.500
3 Co 0.500 0.500 0.000
4 K 0.000 0.000 0.000

---

Entry 2:
DFT (PBE) results for crystalline SmErCuGe at its relaxed geometry.

Results
Spin magnetization = 0.000 μB per cell
Uncorrected energy = -19.923 eV for the cell shown

Cell lengths 5.003, 5.003, 5.003 Å; angles 60.00, 60.00, 60.00 degrees
Atoms (fractional coordinates):
1 Ge 0.500 0.500 0.500
2 Cu 0.000 0.000 0.000
3 Sm 0.250 0.250 0.250
4 Er 0.750 0.750 0.750

---

Entry 3:
DFT (PBE) results for crystalline Te2Ru at its relaxed geometry.

Results
Formation energy (no corrections) = 0.090 eV/atom
Spin magnetization = 0.059 μB per cell

Cell lengths 7.262, 7.262, 7.262 Å; angles 154.91, 153.29, 36.97 degrees
Atoms (fractional coordinates):
1 Ru 0.000 0.000 0.000
2 Te 0.620 0.620 0.000
3 Te 0.380 0.380 0.000

---

Entry 4:
DFT (PBE) results for crystalline LaAg2Ge at its relaxed geometry.

Results
Spin magnetization = 0.000 μB per cell
Uncorrected energy = -31.195 eV for the cell shown

Cell lengths 4.449, 4.449, 10.559 Å; angles 77.84, 77.84, 90.00 degrees
Atoms (fractional coordinates):
1 Ge 0.500 0.500 0.000
2 Ge 0.250 0.750 0.500
3 Ag 0.561 0.125 0.250
4 Ag 0.189 0.625 0.250
5 Ag 0.375 0.439 0.750
6 Ag 0.875 0.811 0.750
7 La 0.000 0.000 0.000
8 La 0.750 0.250 0.500

---

Q: Look up the spin magnetization of the third one.
A: 0.059 μB per cell

---

Q: Look up the spin magnetization of the first one.
A: 5.070 μB per cell